(1)
Entry from the Alexandria database: an optimized crystal structure of Ga2Ag3 (PBE-GGA). Values from VASP.

```
&SYSTEM
  ibrav = 0, nat = 20, ntyp = 2
/
ATOMIC_SPECIES
Ga 69.72 Ga.upf
Ag 107.87 Ag.upf
ATOMIC_POSITIONS crystal
Ga 0.082 0.250 0.187
Ga 0.208 0.250 0.482
Ga 0.292 0.750 0.982
Ga 0.418 0.750 0.687
Ga 0.582 0.250 0.313
Ga 0.708 0.250 0.018
Ga 0.792 0.750 0.518
Ga 0.918 0.750 0.813
Ag 0.011 0.750 0.386
Ag 0.093 0.250 0.930
Ag 0.187 0.750 0.716
Ag 0.313 0.250 0.216
Ag 0.407 0.750 0.430
Ag 0.489 0.250 0.886
Ag 0.511 0.750 0.114
Ag 0.593 0.250 0.570
Ag 0.687 0.750 0.784
Ag 0.813 0.250 0.284
Ag 0.907 0.750 0.070
Ag 0.989 0.250 0.614
CELL_PARAMETERS angstrom
11.344 0.000 0.000
0.000 3.024 0.000
0.000 0.000 10.623
```

The uncorrected energy is -2.89 eV/atom. For the density, the calculation gives 8.439 g/cm³. As for the energy above the most stable polymorph in this dataset: 0.000 eV/atom. The magnetic moment comes out at 0.00 Bohr magnetons per cell. The formation energy is 28 meV/atom. The space group is Pnma (62).


(2)
Entry from the Alexandria database: an optimized crystal structure of Ga3Ag (PBE-GGA). Values from VASP.

```
&SYSTEM
  ibrav = 0, nat = 8, ntyp = 2
/
ATOMIC_SPECIES
Ga 69.72 Ga.upf
Ag 107.87 Ag.upf
ATOMIC_POSITIONS crystal
Ga 0.166 0.333 0.250
Ga 0.166 0.834 0.250
Ga 0.333 0.166 0.750
Ga 0.667 0.834 0.250
Ga 0.834 0.166 0.750
Ga 0.834 0.667 0.750
Ag 0.333 0.667 0.750
Ag 0.667 0.333 0.250
CELL_PARAMETERS angstrom
5.743 0.000 0.000
-2.871 4.973 0.000
0.000 0.000 5.257
```

The uncorrected energy is -2.92 eV/atom. For the density, the calculation gives 7.013 g/cm³. As for the energy above the most stable polymorph in this dataset: 0.044 eV/atom. The magnetic moment comes out at 0.00 Bohr magnetons per cell. The formation energy is 64 meV/atom. The space group is P6_3/mmc (194).


(3)
Entry from the Alexandria database: an optimized crystal structure of Ga3Ag (PBE-GGA). Values from VASP.

```
&SYSTEM
  ibrav = 0, nat = 4, ntyp = 2
/
ATOMIC_SPECIES
Ga 69.72 Ga.upf
Ag 107.87 Ag.upf
ATOMIC_POSITIONS crystal
Ga 0.000 0.000 0.500
Ga 0.000 0.500 0.000
Ga 0.500 0.000 0.000
Ag 0.500 0.500 0.500
CELL_PARAMETERS angstrom
4.194 0.000 0.000
0.000 4.194 0.000
0.000 0.000 4.194
```

The uncorrected energy is -2.95 eV/atom. For the density, the calculation gives 7.134 g/cm³. As for the energy above the most stable polymorph in this dataset: 0.012 eV/atom. The magnetic moment comes out at 0.00 Bohr magnetons per cell. The formation energy is 33 meV/atom. The space group is Pm-3m (221).